Here is a geometry-optimized SrMnClO2 structure from Alexandria via LeMat-Bulk. Energies are from PBE with a Hubbard U.

Output
magnetization	8.00	μB/cell
uncorrected energy	-31.675	eV/f.u.

Cell: 6.704 6.704 5.538 Å, 90.00 90.00 129.19°
Positions (direct):
1 Sr 0.120 0.880 0.750
2 Sr 0.880 0.120 0.250
3 Mn 0.493 0.507 0.750
4 Mn 0.507 0.493 0.250
5 Cl 0.260 0.740 0.250
6 Cl 0.740 0.260 0.750
7 O 0.271 0.271 0.000
8 O 0.271 0.271 0.500
9 O 0.729 0.729 0.000
10 O 0.729 0.729 0.500